w.
Entry from Alexandria via LeMat-Bulk: an optimized crystal structure of TlAuN2F (PBE).

It has space group P4/mmm (No. 123), with a = 3.9810 Å, b = 3.9810 Å, c = 6.0316 Å, α = 90.00°, β = 90.00° and γ = 90.00°. The asymmetric unit holds Tl at (0.0000, 0.0000, 0.0000), Au at (0.5000, 0.5000, 0.5000), N at (0.0000, 0.5000, 0.5000) and F at (0.5000, 0.5000, 0.0000).



x.
Entry from Alexandria via LeMat-Bulk: an optimized crystal structure of TlAuN2F (PBE).

It has space group P4/mmm (No. 123), with a = 4.4228 Å, b = 4.4228 Å, c = 4.4561 Å, α = 90.00°, β = 90.00° and γ = 90.00°. The asymmetric unit holds Tl at (0.0000, 0.0000, 0.0000), Au at (0.5000, 0.5000, 0.5000), N at (0.0000, 0.5000, 0.0000) and F at (0.0000, 0.0000, 0.5000).



It is w that is most stable; the runner-up trails by 566 meV/atom.